1.
# GGA-PBE Sm3Y4Er3, optimized geometry
data_Sm3Y4Er3
_cell_length_a 3.6886
_cell_length_b 9.4106
_cell_length_c 9.4106
_cell_angle_alpha 89.79
_cell_angle_beta 90.00
_cell_angle_gamma 90.00
_symmetry_space_group_name_H-M 'P 1'
_symmetry_Int_Tables_number 1
_symmetry_space_group_name_Hall 'P 1'
loop_
_atom_site_label
_atom_site_type_symbol
_atom_site_fract_x
_atom_site_fract_y
_atom_site_fract_z
_atom_site_occupancy
Sm1 Sm 0.0000 0.0000 0.0000 1
Sm2 Sm 0.0000 0.4988 0.8454 1
Sm3 Sm 0.0000 0.8454 0.4988 1
Y1 Y 0.5000 0.0490 0.3003 1
Y2 Y 0.5000 0.3003 0.0490 1
Y3 Y 0.5000 0.5455 0.5455 1
Y4 Y 0.5000 0.7990 0.7990 1
Er1 Er 0.0000 0.3460 0.3460 1
Er2 Er 0.5000 0.1743 0.6682 1
Er3 Er 0.5000 0.6682 0.1743 1
# Formation enthalpy at 0 K = 0.1115 eV/atom
# Space group = Amm2, No. 38


2.
# GGA-PBE HfCd, optimized geometry
data_HfCd
_cell_length_a 7.2031
_cell_length_b 7.2031
_cell_length_c 3.0744
_cell_angle_alpha 90.00
_cell_angle_beta 90.00
_cell_angle_gamma 120.00
_symmetry_space_group_name_H-M 'P 1'
_symmetry_Int_Tables_number 1
_symmetry_space_group_name_Hall 'P 1'
loop_
_atom_site_label
_atom_site_type_symbol
_atom_site_fract_x
_atom_site_fract_y
_atom_site_fract_z
_atom_site_occupancy
Hf1 Hf 0.0000 0.4289 0.0000 1
Hf2 Hf 0.4289 0.0000 0.0000 1
Hf3 Hf 0.5711 0.5711 0.0000 1
Cd1 Cd 0.0000 0.7695 0.5000 1
Cd2 Cd 0.2305 0.2305 0.5000 1
Cd3 Cd 0.7695 0.0000 0.5000 1
# Formation enthalpy at 0 K = 0.3512 eV/atom
# Space group = P-62m, No. 189


3.
# GGA-PBE BeHgF4, optimized geometry
data_BeHgF4
_cell_length_a 4.8261
_cell_length_b 4.8261
_cell_length_c 11.7640
_cell_angle_alpha 90.00
_cell_angle_beta 90.00
_cell_angle_gamma 120.00
_symmetry_space_group_name_H-M 'P 1'
_symmetry_Int_Tables_number 1
_symmetry_space_group_name_Hall 'P 1'
loop_
_atom_site_label
_atom_site_type_symbol
_atom_site_fract_x
_atom_site_fract_y
_atom_site_fract_z
_atom_site_occupancy
Be1 Be 0.0000 0.3254 0.1667 1
Be2 Be 0.3254 0.0000 0.8333 1
Be3 Be 0.6746 0.6746 0.5000 1
Hg1 Hg 0.0000 0.3860 0.6667 1
Hg2 Hg 0.3860 0.0000 0.3333 1
Hg3 Hg 0.6140 0.6140 0.0000 1
F1 F 0.0070 0.5192 0.2741 1
F2 F 0.0162 0.7173 0.5122 1
F3 F 0.2827 0.2989 0.8455 1
F4 F 0.2989 0.2827 0.1545 1
F5 F 0.4808 0.4878 0.6074 1
F6 F 0.4878 0.4808 0.3926 1
F7 F 0.5122 0.9930 0.9407 1
F8 F 0.5192 0.0070 0.7259 1
F9 F 0.7011 0.9838 0.1788 1
F10 F 0.7173 0.0162 0.4878 1
F11 F 0.9838 0.7011 0.8212 1
F12 F 0.9930 0.5122 0.0593 1
# Raw formation energy = -2.297 eV/atom
# Space group = P3_121, No. 152


Going through the records in order, we get calculated total energy values of -5.26, -5.08, -4.22 eV/atom.